No. 1
Here is a geometry-optimized Ti2CrCo structure from Alexandria. Energies are from GGA-PBE. Values from VASP.

Results
**E_form**: 0.30 eV per atom
**Symmetry**: I-42d, No. 122

```
&SYSTEM
  ibrav = 0, nat = 8, ntyp = 3
/
ATOMIC_SPECIES
Ti 47.87 Ti.upf
Cr 52.00 Cr.upf
Co 58.93 Co.upf
ATOMIC_POSITIONS crystal
Ti 0.108 0.125 0.483
Ti 0.375 0.892 0.017
Ti 0.642 0.625 0.517
Ti 0.875 0.358 0.983
Cr 0.250 0.750 0.500
Cr 0.500 0.500 0.000
Co 0.000 0.000 0.000
Co 0.750 0.250 0.500
CELL_PARAMETERS angstrom
-3.282 3.282 2.633
3.282 -3.282 2.633
3.282 3.282 -2.633
```

---

No. 2
Here is a geometry-optimized ScHPd3 structure from Alexandria. Energies are from GGA-PBE. Values from VASP.

Results
**Symmetry**: P6_3/mmc, No. 194
**ΔE to the lowest computed polymorph**: 0.350 eV/atom

```
&SYSTEM
  ibrav = 0, nat = 10, ntyp = 3
/
ATOMIC_SPECIES
Sc 44.96 Sc.upf
H 1.01 H.upf
Pd 106.42 Pd.upf
ATOMIC_POSITIONS crystal
Sc 0.333 0.667 0.250
Sc 0.667 0.333 0.750
H 0.000 0.000 0.000
H 0.000 0.000 0.500
Pd 0.000 0.000 0.250
Pd 0.000 0.000 0.750
Pd 0.333 0.667 0.578
Pd 0.333 0.667 0.922
Pd 0.667 0.333 0.078
Pd 0.667 0.333 0.422
CELL_PARAMETERS angstrom
4.530 0.000 0.000
-2.265 3.923 0.000
0.000 0.000 7.952
```

---

No. 3
Here is a geometry-optimized SrCuRu2 structure from Alexandria. Energies are from GGA-PBE. Values from VASP.

Results
**E_form**: 0.71 eV per atom
**Symmetry**: Pmmm, No. 47
**ΔE to the lowest computed polymorph**: 0.558 eV/atom

```
&SYSTEM
  ibrav = 0, nat = 4, ntyp = 3
/
ATOMIC_SPECIES
Sr 87.62 Sr.upf
Cu 63.55 Cu.upf
Ru 101.07 Ru.upf
ATOMIC_POSITIONS crystal
Sr 0.000 0.000 0.000
Cu 0.500 0.500 0.000
Ru 0.000 0.500 0.500
Ru 0.500 0.000 0.500
CELL_PARAMETERS angstrom
3.007 0.000 0.000
0.000 4.726 0.000
0.000 0.000 4.908
```

---

No. 4
Here is a geometry-optimized TbTm5In4 structure from Alexandria. Energies are from GGA-PBE. Values from VASP.

Results
**E_form**: -0.35 eV per atom
**Symmetry**: P4/mmm, No. 123

```
&SYSTEM
  ibrav = 0, nat = 10, ntyp = 3
/
ATOMIC_SPECIES
Tb 158.93 Tb.upf
Tm 168.93 Tm.upf
In 114.82 In.upf
ATOMIC_POSITIONS crystal
Tb 0.000 0.000 0.000
Tm 0.500 0.500 0.115
Tm 0.500 0.500 0.307
Tm 0.500 0.500 0.500
Tm 0.500 0.500 0.693
Tm 0.500 0.500 0.885
In 0.000 0.000 0.211
In 0.000 0.000 0.403
In 0.000 0.000 0.597
In 0.000 0.000 0.789
CELL_PARAMETERS angstrom
3.532 0.000 0.000
0.000 3.532 0.000
0.000 0.000 21.510
```

---

No. 5
Here is a geometry-optimized GdHoMnCo structure from Alexandria. Energies are from GGA-PBE. Values from VASP.

Results
**E_form**: 0.07 eV per atom
**Symmetry**: F-43m, No. 216

```
&SYSTEM
  ibrav = 0, nat = 4, ntyp = 4
/
ATOMIC_SPECIES
Gd 157.25 Gd.upf
Ho 164.93 Ho.upf
Mn 54.94 Mn.upf
Co 58.93 Co.upf
ATOMIC_POSITIONS crystal
Gd 0.000 0.000 0.000
Ho 0.500 0.500 0.500
Mn 0.750 0.750 0.750
Co 0.250 0.250 0.250
CELL_PARAMETERS angstrom
0.000 3.454 3.454
3.454 0.000 3.454
3.454 3.454 0.000
```

---

No. 6
Here is a geometry-optimized ZrSc4Tc structure from Alexandria. Energies are from GGA-PBE. Values from VASP.

Results
**E_form**: -0.08 eV per atom
**Symmetry**: P4/mmm, No. 123
**ΔE to the lowest computed polymorph**: 0.000 eV/atom

```
&SYSTEM
  ibrav = 0, nat = 6, ntyp = 3
/
ATOMIC_SPECIES
Zr 91.22 Zr.upf
Sc 44.96 Sc.upf
Tc 98.00 Tc.upf
ATOMIC_POSITIONS crystal
Zr 0.000 0.000 0.000
Sc 0.000 0.000 0.377
Sc 0.000 0.000 0.623
Sc 0.500 0.500 0.173
Sc 0.500 0.500 0.827
Tc 0.500 0.500 0.500
CELL_PARAMETERS angstrom
3.269 0.000 0.000
0.000 3.269 0.000
0.000 0.000 12.428
```

---

No. 7
Here is a geometry-optimized GdTmAlGa structure from Alexandria. Energies are from GGA-PBE. Values from VASP.

Results
**E_form**: -0.47 eV per atom
**Symmetry**: F-43m, No. 216

```
&SYSTEM
  ibrav = 0, nat = 4, ntyp = 4
/
ATOMIC_SPECIES
Gd 157.25 Gd.upf
Tm 168.93 Tm.upf
Al 26.98 Al.upf
Ga 69.72 Ga.upf
ATOMIC_POSITIONS crystal
Gd 0.000 0.000 0.000
Tm 0.500 0.500 0.500
Al 0.250 0.250 0.250
Ga 0.750 0.750 0.750
CELL_PARAMETERS angstrom
0.000 3.583 3.583
3.583 0.000 3.583
3.583 3.583 0.000
```

---

no.,total magnetization (μB per cell)
1,0.0
2,0.0
3,0.9
4,0.0
5,3.0
6,0.0
7,7.1